Record 1
A relaxed structure of SrSnP, computed with PBE.

Results
Volume (Å³/atom): 36.61
Electronic total energy (eV/atom): -4.176

Cell: 4.3133 4.3133 12.1929 Å, 100.19 100.19 90.00°
Closest atoms and distances in Å follow each position.
Fractional coordinates of all 6 atoms:
1 Sn 0.0807 0.0807 0.1614  1 P 2.47
2 Sn 0.9193 0.9193 0.8386  1 P 2.47
3 Sr 0.6850 0.6850 0.3700  5 P 3.05-3.07
4 Sr 0.3150 0.3150 0.6300  5 P 3.05-3.07
5 P 0.8148 0.8148 0.6297  1 Sn 2.47
6 P 0.1852 0.1852 0.3703  1 Sn 2.47


Record 2
A relaxed structure of Sr5SnP8, computed with PBE.

Results
Volume (Å³/atom): 27.96
Electronic total energy (eV/atom): -4.630

Cell: 8.0883 8.0883 8.0883 Å, 103.42 103.42 122.40°
Closest atoms and distances in Å follow each position.
Fractional coordinates of all 14 atoms:
1 Sr 0.9447 0.3084 0.9247  4 P 2.99-3.16
2 Sr 0.6916 0.6163 0.6363  4 P 2.99-3.16
3 Sr 0.3837 0.0200 0.0753  4 P 2.99-3.16
4 Sr 0.5000 0.5000 0.0000  8 P 2.97-3.03
5 Sr 0.9800 0.0553 0.3637  4 P 2.99-3.16
6 Sn 0.2500 0.7500 0.5000  4 P 2.55
7 P 0.9587 0.7010 0.0734  1 P 2.20
8 P 0.2990 0.3725 0.2577  1 P 2.20
9 P 0.4796 0.7237 0.3424  1 P 2.20
10 P 0.2763 0.6187 0.7559  1 P 2.20
11 P 0.8628 0.5204 0.2441  1 P 2.20
12 P 0.1147 0.0413 0.7423  1 P 2.20
13 P 0.6275 0.8853 0.9266  1 P 2.20
14 P 0.3813 0.1372 0.6576  1 P 2.20


Record 3
A relaxed structure of Sr2SnP, computed with PBE.

Results
Volume (Å³/atom): 40.78
Electronic total energy (eV/atom): -3.669

Cell: 4.3121 4.3121 10.4320 Å, 78.07 78.07 60.00°
Closest atoms and distances in Å follow each position.
Fractional coordinates of all 4 atoms:
1 Sr 0.1141 0.1141 0.6578  3 P 2.96
2 Sr 0.8859 0.8859 0.3422  3 P 2.96
3 Sn 0.0000 0.0000 0.0000  2 Sr 3.47
4 P 0.5000 0.5000 0.5000  6 Sr 2.96


Record 4
A relaxed structure of Sr2SnP, computed with PBE.

Results
Volume (Å³/atom): 32.72
Electronic total energy (eV/atom): -3.652

Cell: 8.6611 8.6611 7.0485 Å, 52.09 52.09 90.00°
Closest atoms and distances in Å follow each position.
Fractional coordinates of all 8 atoms:
1 Sr 0.5779 0.1250 0.2500  2 P 2.92
2 Sr 0.1721 0.6250 0.2500  2 P 2.92
3 Sr 0.3750 0.4221 0.7500  2 P 2.92
4 Sr 0.8750 0.8279 0.7500  2 P 2.92
5 Sn 0.0000 0.0000 0.0000  8 Sr 3.47-3.82, 2 P 3.49
6 Sn 0.7500 0.2500 0.5000  8 Sr 3.47-3.82, 2 P 3.49
7 P 0.5000 0.5000 0.0000  4 Sr 2.92
8 P 0.2500 0.7500 0.5000  4 Sr 2.92


Record 5
A relaxed structure of Sr2Sn2P, computed with PBE.

Results
Volume (Å³/atom): 30.42
Electronic total energy (eV/atom): -3.768

Cell: 7.8211 7.8211 4.9728 Å, 90.00 90.00 90.00°
Closest atoms and distances in Å follow each position.
Fractional coordinates of all 10 atoms:
1 Sr 0.1729 0.6729 0.5000  6 Sn 3.28-3.47
2 Sr 0.6729 0.8271 0.5000  6 Sn 3.28-3.47
3 Sr 0.8271 0.3271 0.5000  6 Sn 3.28-3.47
4 Sr 0.3271 0.1729 0.5000  6 Sn 3.28-3.47
5 Sn 0.3660 0.8660 0.0000  1 Sn 2.96, 2 P 3.05, 2 Sr 3.28
6 Sn 0.8660 0.6340 0.0000  1 Sn 2.96, 2 P 3.05, 2 Sr 3.28
7 Sn 0.6340 0.1340 0.0000  1 Sn 2.96, 2 P 3.05, 2 Sr 3.28
8 Sn 0.1340 0.3660 0.0000  1 Sn 2.96, 2 P 3.05, 2 Sr 3.28
9 P 0.0000 0.0000 0.0000  4 Sn 3.05
10 P 0.5000 0.5000 0.0000  4 Sn 3.05


Record 6
A relaxed structure of SrSnP2, computed with PBE.

Results
Volume (Å³/atom): 28.22
Electronic total energy (eV/atom): -4.635

Cell: 7.2067 7.2067 6.6976 Å, 57.45 57.45 90.00°
Closest atoms and distances in Å follow each position.
Fractional coordinates of all 8 atoms:
1 Sr 0.5000 0.5000 0.0000  4 P 3.06
2 Sr 0.2500 0.7500 0.5000  4 P 3.06
3 Sn 0.0000 0.0000 0.0000  4 P 2.52
4 Sn 0.7500 0.2500 0.5000  4 P 2.52
5 P 0.6828 0.1250 0.2500  2 Sn 2.52
6 P 0.0672 0.6250 0.2500  2 Sn 2.52
7 P 0.3750 0.3172 0.7500  2 Sn 2.52
8 P 0.8750 0.9328 0.7500  2 Sn 2.52


Record 7
A relaxed structure of SrSnP, computed with PBE.

Results
Volume (Å³/atom): 28.44
Electronic total energy (eV/atom): -4.190

Cell: 4.4234 4.7195 4.7195 Å, 120.00 90.00 90.00°
Closest atoms and distances in Å follow each position.
Fractional coordinates of all 3 atoms:
1 Sr 0.6713 0.6667 0.3333  6 P 3.45-3.57, 6 Sn 3.49-3.53
2 Sn 0.1785 0.3333 0.6667  3 P 2.73
3 P 0.1502 0.0000 0.0000  3 Sn 2.73


Record 8
A relaxed structure of Sr2SnP, computed with PBE.

Results
Volume (Å³/atom): 29.97
Electronic total energy (eV/atom): -3.691

Cell: 5.5344 5.5344 5.5344 Å, 60.00 60.00 60.00°
Closest atoms and distances in Å follow each position.
Fractional coordinates of all 4 atoms:
1 Sr 0.2500 0.2500 0.2500  4 Sn 3.39, 4 P 3.39
2 Sr 0.7500 0.7500 0.7500  4 P 3.39, 4 Sn 3.39
3 Sn 0.5000 0.5000 0.5000  8 Sr 3.39
4 P 0.0000 0.0000 0.0000  8 Sr 3.39


Record 9
A relaxed structure of SrSn2P, computed with PBE.

Results
Volume (Å³/atom): 28.86
Electronic total energy (eV/atom): -4.069

Cell: 8.6505 8.6505 6.8509 Å, 50.85 50.85 90.00°
Closest atoms and distances in Å follow each position.
Fractional coordinates of all 8 atoms:
1 Sr 0.0000 0.0000 0.0000  2 P 3.09
2 Sr 0.7500 0.2500 0.5000  2 P 3.09
3 Sn 0.5612 0.1250 0.2500  2 P 2.80
4 Sn 0.1888 0.6250 0.2500  2 P 2.80
5 Sn 0.3750 0.4388 0.7500  2 P 2.80
6 Sn 0.8750 0.8112 0.7500  2 P 2.80
7 P 0.5000 0.5000 0.0000  4 Sn 2.80, 2 Sr 3.09
8 P 0.2500 0.7500 0.5000  4 Sn 2.80, 2 Sr 3.09


Record 10
A relaxed structure of SrTaSn2P, computed with PBE.

Results
Volume (Å³/atom): 33.21
Electronic total energy (eV/atom): -3.510

Cell: 5.6790 5.1488 5.6790 Å, 90.00 90.00 90.00°
Closest atoms and distances in Å follow each position.
Fractional coordinates of all 5 atoms:
1 Sr 0.0000 0.0000 0.0000  2 P 2.57, 4 Sn 2.84
2 Sn 0.0000 0.0000 0.5000  2 Sr 2.84
3 Sn 0.5000 0.0000 0.0000  2 Sr 2.84
4 P 0.0000 0.5000 0.0000  2 Sr 2.57
5 Ta 0.5000 0.5000 0.5000  8 Sn 3.83, 4 P 4.02


Record 11
A relaxed structure of Sr2TlSnP, computed with PBE.

Results
Volume (Å³/atom): 35.30
Electronic total energy (eV/atom): -3.411

Cell: 5.8449 5.1658 5.8449 Å, 90.00 90.00 90.00°
Closest atoms and distances in Å follow each position.
Fractional coordinates of all 5 atoms:
1 Sr 0.0000 0.0000 0.5000  2 P 2.92
2 Sr 0.5000 0.0000 0.0000  2 P 2.92
3 Tl 0.0000 0.5000 0.0000  2 P 2.58
4 Sn 0.5000 0.5000 0.5000  8 Sr 3.90, 4 Tl 4.13
5 P 0.0000 0.0000 0.0000  2 Tl 2.58


Record 12
A relaxed structure of SrZrSn2P, computed with PBE.

Results
Volume (Å³/atom): 31.49
Electronic total energy (eV/atom): -4.966

Cell: 5.5960 5.0286 5.5960 Å, 90.00 90.00 90.00°
Closest atoms and distances in Å follow each position.
Fractional coordinates of all 5 atoms:
1 Sr 0.5000 0.5000 0.5000  8 Sn 3.76, 4 P 3.96
2 Sn 0.0000 0.0000 0.5000  2 Zr 2.80
3 Sn 0.5000 0.0000 0.0000  2 Zr 2.80
4 Zr 0.0000 0.0000 0.0000  2 P 2.51, 4 Sn 2.80
5 P 0.0000 0.5000 0.0000  2 Zr 2.51


Record 13
A relaxed structure of TaSn3P, computed with PBE.

Results
Volume (Å³/atom): 31.42
Electronic total energy (eV/atom): -4.978

Cell: 5.3958 5.3958 5.3958 Å, 90.00 90.00 90.00°
Closest atoms and distances in Å follow each position.
Fractional coordinates of all 5 atoms:
1 P 0.5000 0.5000 0.5000  12 Sn 3.82
2 Sn 0.0000 0.5000 0.0000  2 Ta 2.70
3 Sn 0.0000 0.0000 0.5000  2 Ta 2.70
4 Sn 0.5000 0.0000 0.0000  2 Ta 2.70
5 Ta 0.0000 0.0000 0.0000  6 Sn 2.70


Record 14
A relaxed structure of TaSn2P, computed with PBE.

Results
Volume (Å³/atom): 29.64
Electronic total energy (eV/atom): -5.441

Cell: 6.4471 6.4471 7.3024 Å, 63.80 63.80 90.00°
Closest atoms and distances in Å follow each position.
Fractional coordinates of all 8 atoms:
1 P 0.5000 0.5000 0.0000  4 Sn 2.61
2 P 0.2500 0.7500 0.5000  4 Sn 2.61
3 Sn 0.6045 0.1250 0.2500  2 P 2.61, 2 Ta 2.77
4 Sn 0.1455 0.6250 0.2500  2 P 2.61, 2 Ta 2.77
5 Sn 0.3750 0.3955 0.7500  2 P 2.61, 2 Ta 2.77
6 Sn 0.8750 0.8545 0.7500  2 P 2.61, 2 Ta 2.77
7 Ta 0.0000 0.0000 0.0000  4 Sn 2.77
8 Ta 0.7500 0.2500 0.5000  4 Sn 2.77


Record 15
A relaxed structure of TaSnP3, computed with PBE.

Results
Volume (Å³/atom): 22.91
Electronic total energy (eV/atom): -6.151

Cell: 4.8563 4.8563 4.8563 Å, 90.00 90.00 90.00°
Closest atoms and distances in Å follow each position.
Fractional coordinates of all 5 atoms:
1 P 0.0000 0.5000 0.0000  2 Ta 2.43
2 P 0.0000 0.0000 0.5000  2 Ta 2.43
3 P 0.5000 0.0000 0.0000  2 Ta 2.43
4 Sn 0.5000 0.5000 0.5000  12 P 3.43
5 Ta 0.0000 0.0000 0.0000  6 P 2.43


Record 16
A relaxed structure of Ta2SnP, computed with PBE.

Results
Volume (Å³/atom): 19.46
Electronic total energy (eV/atom): -7.930

Cell: 4.0224 4.0224 10.0345 Å, 78.44 78.44 90.00°
Closest atoms and distances in Å follow each position.
Fractional coordinates of all 8 atoms:
1 P 0.5000 0.5000 0.0000  4 Ta 2.78, 4 Sn 2.84
2 P 0.2500 0.7500 0.5000  4 Ta 2.78, 4 Sn 2.84
3 Sn 0.0000 0.0000 0.0000  4 Ta 2.81, 4 P 2.84
4 Sn 0.7500 0.2500 0.5000  4 Ta 2.81, 4 P 2.84
5 Ta 0.6150 0.1250 0.2500  2 P 2.78, 4 Ta 2.79-2.90, 2 Sn 2.81
6 Ta 0.1350 0.6250 0.2500  2 P 2.78, 4 Ta 2.79-2.90, 2 Sn 2.81
7 Ta 0.3750 0.3850 0.7500  2 P 2.78, 4 Ta 2.79-2.90, 2 Sn 2.81
8 Ta 0.8750 0.8650 0.7500  2 P 2.78, 4 Ta 2.79-2.90, 2 Sn 2.81


Record 17
A relaxed structure of TaSn3P, computed with PBE.

Results
Volume (Å³/atom): 25.65
Electronic total energy (eV/atom): -4.741

Cell: 5.0430 5.0430 5.0430 Å, 90.00 90.00 90.00°
Closest atoms and distances in Å follow each position.
Fractional coordinates of all 5 atoms:
1 P 0.0000 0.0000 0.0000  6 Sn 2.52
2 Sn 0.0000 0.5000 0.0000  2 P 2.52
3 Sn 0.0000 0.0000 0.5000  2 P 2.52
4 Sn 0.5000 0.0000 0.0000  2 P 2.52
5 Ta 0.5000 0.5000 0.5000  12 Sn 3.57


Record 18
A relaxed structure of TaSnP3, computed with PBE.

Results
Volume (Å³/atom): 22.74
Electronic total energy (eV/atom): -4.792

Cell: 4.8444 4.8444 4.8444 Å, 90.00 90.00 90.00°
Closest atoms and distances in Å follow each position.
Fractional coordinates of all 5 atoms:
1 P 0.0000 0.5000 0.0000  2 Sn 2.42
2 P 0.0000 0.0000 0.5000  2 Sn 2.42
3 P 0.5000 0.0000 0.0000  2 Sn 2.42
4 Sn 0.0000 0.0000 0.0000  6 P 2.42
5 Ta 0.5000 0.5000 0.5000  12 P 3.43


Record 19
A relaxed structure of Ta2SnP2, computed with PBE.

Results
Volume (Å³/atom): 17.40
Electronic total energy (eV/atom): -7.920

Cell: 3.6064 3.6064 7.1587 Å, 75.41 75.41 90.00°
Closest atoms and distances in Å follow each position.
Fractional coordinates of all 5 atoms:
1 P 0.7500 0.2500 0.5000  4 Ta 2.54, 4 P 2.55
2 P 0.2500 0.7500 0.5000  4 Ta 2.54, 4 P 2.55
3 Sn 0.0000 0.0000 0.0000  8 Ta 2.98
4 Ta 0.3842 0.3842 0.2315  4 P 2.54
5 Ta 0.6158 0.6158 0.7685  4 P 2.54


Record 20
A relaxed structure of Ta2SnP, computed with PBE.

Results
Volume (Å³/atom): 17.58
Electronic total energy (eV/atom): -8.166

Cell: 4.6329 4.6329 4.6329 Å, 60.00 60.00 60.00°
Closest atoms and distances in Å follow each position.
Fractional coordinates of all 4 atoms:
1 P 0.0000 0.0000 0.0000  8 Ta 2.84
2 Sn 0.5000 0.5000 0.5000  8 Ta 2.84
3 Ta 0.2500 0.2500 0.2500  4 Sn 2.84, 4 P 2.84
4 Ta 0.7500 0.7500 0.7500  4 Sn 2.84, 4 P 2.84